! KSc2In | Alexandria | GGA-PBE | relaxed; values from VASP
! Electronic total energy in eV for the cell shown: -15.88
&SYSTEM
  ibrav = 0, nat = 4, ntyp = 3
/
ATOMIC_SPECIES
Sc 44.96 Sc.upf
K 39.10 K.upf
In 114.82 In.upf
CELL_PARAMETERS angstrom
-2.067 -2.548 -0.847
2.522 -0.984 -3.195
4.695 -5.619 5.437
ATOMIC_POSITIONS crystal
Sc 0.000 0.000 0.089
Sc 0.000 0.000 0.411
K 0.500 0.500 0.750
In 0.500 0.500 0.250